--- P ---
Material: Hg3Ru
Method: DFT, PBE-GGA
State: optimized geometry

Results
density of states at the Fermi level = 5.46 states/eV/cell

Unit cell a=6.0652 b=6.0652 c=4.8821 alpha=90.00 beta=90.00 gamma=120.00
Closest atoms and distances in Å follow each position.
Element x y z (fractional)
Hg (0.1720, 0.3439, 0.2500)  8 Hg 2.94-3.13, 4 Ru 2.97-3.03
Hg (0.1720, 0.8280, 0.2500)  8 Hg 2.94-3.13, 4 Ru 2.97-3.03
Hg (0.3439, 0.1720, 0.7500)  8 Hg 2.94-3.13, 4 Ru 2.97-3.03
Hg (0.6561, 0.8280, 0.2500)  8 Hg 2.94-3.13, 4 Ru 2.97-3.03
Hg (0.8280, 0.1720, 0.7500)  8 Hg 2.94-3.13, 4 Ru 2.97-3.03
Hg (0.8280, 0.6561, 0.7500)  8 Hg 2.94-3.13, 4 Ru 2.97-3.03
Ru (0.3333, 0.6667, 0.7500)  12 Hg 2.97-3.03
Ru (0.6667, 0.3333, 0.2500)  12 Hg 2.97-3.03

--- Q ---
Material: Hg3Ru
Method: DFT, PBE-GGA
State: optimized geometry

Results
density of states at the Fermi level = 5.98 states/eV/cell

Unit cell a=4.1555 b=4.1555 c=9.2131 alpha=90.00 beta=90.00 gamma=90.00
Closest atoms and distances in Å follow each position.
Element x y z (fractional)
Hg (0.0000, 0.0000, 0.0000)  4 Ru 2.94, 8 Hg 3.10
Hg (0.0000, 0.5000, 0.2500)  8 Hg 2.94-3.10, 4 Ru 3.10
Hg (0.0000, 0.5000, 0.7500)  8 Hg 2.94-3.10, 4 Ru 3.10
Hg (0.5000, 0.0000, 0.2500)  8 Hg 2.94-3.10, 4 Ru 3.10
Hg (0.5000, 0.0000, 0.7500)  8 Hg 2.94-3.10, 4 Ru 3.10
Hg (0.5000, 0.5000, 0.5000)  4 Ru 2.94, 8 Hg 3.10
Ru (0.0000, 0.0000, 0.5000)  12 Hg 2.94-3.10
Ru (0.5000, 0.5000, 0.0000)  12 Hg 2.94-3.10

--- R ---
Material: Hg3Ru
Method: DFT, PBE-GGA
State: optimized geometry

Results
density of states at the Fermi level = 6.52 states/eV/cell

Unit cell a=5.8557 b=8.1219 c=3.3318 alpha=90.00 beta=90.00 gamma=90.00
Closest atoms and distances in Å follow each position.
Element x y z (fractional)
Hg (0.0000, 0.0000, 0.0000)  2 Ru 2.93, 8 Hg 3.01
Hg (0.2500, 0.2500, 0.5000)  6 Hg 2.93-3.01, 4 Ru 3.01
Hg (0.2500, 0.7500, 0.5000)  6 Hg 2.93-3.01, 4 Ru 3.01
Hg (0.5000, 0.5000, 0.0000)  2 Ru 2.93, 8 Hg 3.01
Hg (0.7500, 0.2500, 0.5000)  6 Hg 2.93-3.01, 4 Ru 3.01
Hg (0.7500, 0.7500, 0.5000)  6 Hg 2.93-3.01, 4 Ru 3.01
Ru (0.0000, 0.5000, 0.0000)  10 Hg 2.93-3.01
Ru (0.5000, 0.0000, 0.0000)  10 Hg 2.93-3.01

Verdict on stability: R comes out on top.